Entry 1:
An optimized crystal structure of Li11TiSb5. Source: the Alexandria database, functional GGA-PBEsol.

Output
For the uncorrected formation energy, the calculation gives -0.58 eV/atom. The total energy is -3.6801 eV per atom.

a b c (Å): 4.512 7.854 10.402
angles (deg): 74.27 77.47 73.31
Positions (direct):
Sb 0.005 0.994 0.996
Sb 0.609 0.199 0.583
Sb 0.191 0.408 0.210
Sb 0.386 0.825 0.403
Sb 0.809 0.566 0.815
Li 0.802 0.323 0.073
Li 0.393 0.561 0.652
Li 0.399 0.299 0.902
Li 0.396 0.055 0.153
Li 0.982 0.778 0.257
Li 0.011 0.235 0.743
Li 0.606 0.704 0.083
Li 0.616 0.933 0.835
Li 0.585 0.473 0.357
Li 0.204 0.661 0.931
Li 0.803 0.830 0.565
Ti 0.201 0.156 0.441

=====

Entry 2:
An optimized crystal structure of SrCaTa2Au. Source: the Alexandria database, functional GGA-PBEsol.

Output
The total energy is -4.2281 eV per atom. The value obtained for the energy of formation from the pure elements is 229 kJ/mol of atoms.

a b c (Å): 4.877 4.877 5.114
angles (deg): 90.00 90.00 90.00
Positions (direct):
Sr 0.000 0.000 0.000
Ca 0.000 0.000 0.500
Au 0.500 0.500 0.500
Ta 0.000 0.500 0.000
Ta 0.500 0.000 0.000

=====

Entry 3:
An optimized crystal structure of AsP3Pt. Source: the Alexandria database, functional GGA-PBEsol.

Output
The energy above the most stable polymorph in this dataset is 0.0 kJ per mole of atoms. The total energy is -5.0204 eV per atom. The value obtained for the energy of formation from the pure elements is 84 kJ/mol of atoms.

a b c (Å): 4.626 4.626 4.626
angles (deg): 90.00 90.00 90.00
Positions (direct):
P 0.000 0.500 0.000
P 0.000 0.000 0.500
P 0.500 0.000 0.000
As 0.500 0.500 0.500
Pt 0.000 0.000 0.000

=====

Entry 4:
An optimized crystal structure of BeZnTe2. Source: the Alexandria database, functional GGA-PBEsol.

Output
For the uncorrected formation energy, the calculation gives 0.25 eV/atom. The energy above the most stable polymorph in this dataset is 59.4 kJ per mole of atoms. The total energy is -2.9113 eV per atom.

a b c (Å): 3.696 3.991 7.441
angles (deg): 90.00 90.00 117.59
Positions (direct):
Be 0.500 0.000 0.000
Zn 0.500 0.000 0.500
Te 0.000 0.000 0.773
Te 0.000 0.000 0.227

=====

Entry 5:
An optimized crystal structure of MnBeAu2. Source: the Alexandria database, functional GGA-PBEsol.

Output
The total energy is -5.3381 eV per atom. The value obtained for the energy of formation from the pure elements is 6 kJ/mol of atoms.

a b c (Å): 3.797 3.797 4.780
angles (deg): 113.40 113.40 90.00
Site moments in Bohr magnetons follow the coordinates.
Positions (direct):
Be 0.500 0.500 0.000  -0.03
Mn 0.250 0.750 0.500  3.60
Au 0.000 0.000 0.000  0.07
Au 0.750 0.250 0.500  0.07

=====

Entry 6:
An optimized crystal structure of Pt2RhW. Source: the Alexandria database, functional GGA-PBEsol.

Output
The energy above the most stable polymorph in this dataset is 26.2 kJ per mole of atoms. The total energy is -8.9842 eV per atom. The value obtained for the energy of formation from the pure elements is -2 kJ/mol of atoms.

a b c (Å): 3.337 3.337 5.379
angles (deg): 90.00 90.00 90.00
Positions (direct):
Pt 0.000 0.000 0.748
Pt 0.000 0.000 0.252
Rh 0.500 0.500 0.000
W 0.500 0.500 0.500

=====

Entry 7:
An optimized crystal structure of B2MoPb6O12. Source: the Alexandria database, functional GGA-PBEsol.

Output
For the uncorrected formation energy, the calculation gives -1.65 eV/atom. The total energy is -7.0257 eV per atom.

a b c (Å): 6.247 9.699 11.869
angles (deg): 90.00 90.00 108.79
Positions (direct):
B 0.254 0.508 0.500
B 0.254 0.508 0.000
B 0.746 0.492 0.500
B 0.746 0.492 0.000
Mo 0.273 0.000 0.250
Mo 0.727 0.000 0.750
Pb 0.501 0.417 0.250
Pb 0.916 0.417 0.750
Pb 0.499 0.583 0.750
Pb 0.084 0.583 0.250
Pb 0.658 0.790 0.406
Pb 0.133 0.790 0.594
Pb 0.658 0.790 0.094
Pb 0.133 0.790 0.906
Pb 0.342 0.210 0.594
Pb 0.867 0.210 0.406
Pb 0.342 0.210 0.906
Pb 0.867 0.210 0.094
O 0.728 0.566 0.403
O 0.838 0.566 0.597
O 0.728 0.566 0.097
O 0.838 0.566 0.903
O 0.272 0.434 0.597
O 0.162 0.434 0.403
O 0.272 0.434 0.903
O 0.162 0.434 0.097
O 0.330 0.660 0.500
O 0.330 0.660 0.000
O 0.670 0.340 0.500
O 0.670 0.340 0.000
O 0.480 0.701 0.250
O 0.221 0.701 0.750
O 0.520 0.299 0.750
O 0.779 0.299 0.250
O 0.024 0.845 0.250
O 0.821 0.845 0.750
O 0.976 0.155 0.750
O 0.179 0.155 0.250
O 0.436 0.000 0.372
O 0.564 0.000 0.628
O 0.436 0.000 0.128
O 0.564 0.000 0.872

=====

Entry 8:
An optimized crystal structure of CdPbBr2. Source: the Alexandria database, functional GGA-PBEsol.

Output
For the uncorrected formation energy, the calculation gives -0.38 eV/atom. The energy above the most stable polymorph in this dataset is 1.9 kJ per mole of atoms. The total energy is -2.6113 eV per atom.

a b c (Å): 3.698 3.698 8.799
angles (deg): 90.00 90.00 90.00
Positions (direct):
Pb 0.500 0.500 0.500
Br 0.000 0.000 0.700
Br 0.000 0.000 0.300
Cd 0.500 0.500 0.000